(1)
Material: Pr4Dy3Er
Method: DFT, PBE
State: relaxed

```
Pr4Dy3Er
1.0
-2.1883 -2.5614 -0.9815
-0.9281 -1.7281 6.5792
-7.1923 9.3497 -2.0913
Pr Dy Er
4 3 1
direct
0.7405 0.2340 0.4811
0.8770 0.6320 0.7540
0.2595 0.7660 0.5189
0.1230 0.3680 0.2460
0.1215 0.8813 0.2431
0.0000 0.5000 0.0000
0.8785 0.1187 0.7569
0.5000 0.0000 0.0000
```

Output
Energy above the lowest structure with this stoichiometry: 133.2 meV per atom
Space group: C2/m
Total DFT energy (no corrections): -36.17 eV/cell
Volume: 274 Å³/cell
D(E_F): 13.332 states/eV per cell
Energy relative to the elements: 0.165 eV per atom

(2)
Material: Pr6Dy16Er7
Method: DFT, PBE
State: relaxed

```
Pr6Dy16Er7
1.0
-1.3155 -10.1095 4.5723
5.1439 -8.8601 -4.4584
8.4978 -4.8334 5.4095
Pr Dy Er
6 16 7
direct
0.7261 0.2739 0.2739
0.2739 0.7261 0.7261
0.7261 0.7261 0.2739
0.7261 0.2739 0.7261
0.2739 0.7261 0.2739
0.2739 0.2739 0.7261
0.3482 0.9555 0.3482
0.3482 0.3482 0.3482
0.3482 0.3482 0.9555
0.3776 0.8742 0.8742
0.0445 0.6518 0.6518
0.1258 0.1258 0.6224
0.8742 0.8742 0.8742
0.1258 0.6224 0.1258
0.6518 0.6518 0.0445
0.8742 0.3776 0.8742
0.6518 0.0445 0.6518
0.1258 0.1258 0.1258
0.9555 0.3482 0.3482
0.6224 0.1258 0.1258
0.8742 0.8742 0.3776
0.6518 0.6518 0.6518
0.0000 0.0000 0.5000
0.0000 0.5000 0.0000
0.0000 0.0000 0.0000
0.0000 0.5000 0.5000
0.5000 0.0000 0.0000
0.5000 0.5000 0.0000
0.5000 0.0000 0.5000
```

Output
Space group: Fm-3m
Total DFT energy (no corrections): -127.51 eV/cell
Volume: 986 Å³/cell
D(E_F): 53.548 states/eV per cell
Energy relative to the elements: 0.232 eV per atom

(3)
Material: PrDy8Er3
Method: DFT, PBE
State: relaxed

```
PrDy8Er3
1.0
-7.6767 0.0418 3.4868
0.3201 -7.9916 -2.6953
7.9579 0.3207 2.7676
Dy Er Pr
8 3 1
direct
0.1676 0.9149 0.7488
0.5004 0.1679 0.3324
0.1679 0.4190 0.2531
0.1683 0.3351 0.8333
0.1644 0.8321 0.3324
0.4982 0.6649 0.8333
0.8339 0.0851 0.2527
0.8341 0.5810 0.7489
0.8318 0.5000 0.3318
0.5000 0.2515 0.7515
0.5000 0.7485 0.2485
0.8333 0.0000 0.8333
```

Output
Space group: Imm2
Total DFT energy (no corrections): -55.14 eV/cell
Volume: 384 Å³/cell
D(E_F): 21.892 states/eV per cell
Energy relative to the elements: 0.012 eV per atom

(4)
Material: Pr3Dy2Er3
Method: DFT, PBE
State: relaxed

```
Pr3Dy2Er3
1.0
-1.7207 -5.0996 1.9912
4.5381 0.0274 3.9918
-6.0482 6.0513 2.0018
Dy Er Pr
2 3 3
direct
0.2499 0.3194 0.4997
0.7501 0.6806 0.5003
0.1324 0.6840 0.2649
0.8676 0.3160 0.7351
0.0000 0.0000 0.0000
0.6356 0.0716 0.2713
0.3644 0.9284 0.7287
0.5000 0.5000 0.0000
```

Output
Energy above the lowest structure with this stoichiometry: 64.6 meV per atom
Space group: C2/m
Total DFT energy (no corrections): -36.52 eV/cell
Volume: 266 Å³/cell
D(E_F): 13.263 states/eV per cell
Energy relative to the elements: 0.089 eV per atom

(5)
Material: Pr2Dy15Er2
Method: DFT, PBE
State: relaxed

```
Pr2Dy15Er2
1.0
8.3969 -0.5763 2.2645
1.5848 8.2661 2.2645
-0.7480 -0.5763 8.6646
Dy Pr Er
15 2 2
direct
0.3031 0.6969 0.0000
0.6283 0.1542 0.6283
0.3717 0.3717 0.8458
0.6969 0.3031 0.0000
0.8458 0.3717 0.3717
0.0000 0.5000 0.0000
0.6283 0.6283 0.1542
0.3717 0.8458 0.3717
0.0000 0.0000 0.5000
0.0000 0.3031 0.6969
0.6969 0.0000 0.3031
0.0000 0.6969 0.3031
0.1542 0.6283 0.6283
0.3031 0.0000 0.6969
0.5000 0.0000 0.0000
0.1165 0.1165 0.1165
0.8835 0.8835 0.8835
0.6723 0.6723 0.6723
0.3277 0.3277 0.3277
```

Output
Space group: R-3m
Total DFT energy (no corrections): -82.03 eV/cell
Volume: 633 Å³/cell
D(E_F): 32.085 states/eV per cell
Energy relative to the elements: 0.299 eV per atom

(6)
Material: Pr2Dy5Er4
Method: DFT, PBE
State: relaxed

```
Pr2Dy5Er4
1.0
-6.3595 -9.8283 -2.6999
-5.4559 -10.6905 0.5236
-7.7051 2.8685 2.9271
Er Dy Pr
4 5 2
direct
0.0461 0.0461 0.6379
0.9539 0.9539 0.3621
0.6776 0.6776 0.5260
0.3224 0.3224 0.4740
0.7650 0.7650 0.8254
0.1404 0.1404 0.8745
0.8596 0.8596 0.1255
0.2350 0.2350 0.1746
0.5000 0.5000 0.0000
0.9065 0.9065 0.7454
0.0935 0.0935 0.2546
```

Output
Energy above the lowest structure with this stoichiometry: 0.0 meV per atom
Space group: C2/m
Total DFT energy (no corrections): -49.16 eV/cell
Volume: 356 Å³/cell
D(E_F): 19.032 states/eV per cell
Energy relative to the elements: 0.151 eV per atom

(7)
Material: PrDy7Er3
Method: DFT, PBE
State: relaxed

```
PrDy7Er3
1.0
-4.0324 -3.2561 -6.8328
-4.3758 -3.5207 4.2601
-1.6420 6.5143 -2.1352
Er Dy Pr
3 7 1
direct
0.7849 0.9985 0.4993
0.7849 0.5007 0.0015
0.7849 0.5007 0.4993
0.1195 0.6667 0.3333
0.1149 0.1678 0.3357
0.4502 0.3361 0.1681
0.1149 0.6643 0.8322
0.4502 0.8319 0.6639
0.1149 0.1678 0.8322
0.4502 0.8319 0.1681
0.4455 0.3333 0.6667
```

Output
Energy above the lowest structure with this stoichiometry: 55.0 meV per atom
Space group: P3m1
Total DFT energy (no corrections): -48.51 eV/cell
Volume: 369 Å³/cell
D(E_F): 17.497 states/eV per cell
Energy relative to the elements: 0.198 eV per atom

(8)
Material: Pr5Dy2Er2
Method: DFT, PBE
State: relaxed

```
Pr5Dy2Er2
1.0
12.9566 0.0000 0.0000
0.0000 6.2530 0.0000
-6.4783 -3.1265 7.6143
Pr Er Dy
10 4 4
direct
0.9248 0.2926 0.5000
0.5401 0.3073 0.7123
0.4599 0.5950 0.2877
0.8509 0.3456 0.0980
0.1491 0.2477 0.9020
0.2529 0.7477 0.9020
0.3278 0.0950 0.2877
0.7471 0.8456 0.0980
0.0752 0.7926 0.5000
0.6722 0.8073 0.7123
0.5855 0.0833 0.2714
0.1859 0.5833 0.2714
0.4145 0.8120 0.7286
0.8141 0.3120 0.7286
0.1931 0.2690 0.5000
0.5000 0.3835 0.0000
0.0000 0.8835 0.0000
0.8069 0.7690 0.5000
```

Output
Energy above the lowest structure with this stoichiometry: 150.0 meV per atom
Space group: Ima2
Total DFT energy (no corrections): -81.38 eV/cell
Volume: 617 Å³/cell
D(E_F): 23.339 states/eV per cell
Energy relative to the elements: 0.171 eV per atom

(9)
Material: Pr6Dy2Er3
Method: DFT, PBE
State: relaxed

```
Pr6Dy2Er3
1.0
-0.3263 4.1769 2.2615
-4.7008 -0.6087 0.4460
4.9651 -9.7193 13.6559
Pr Dy Er
6 2 3
direct
0.3805 0.8805 0.7610
0.7076 0.7076 0.4152
0.1195 0.6195 0.2390
0.2924 0.2924 0.5848
0.8805 0.3805 0.7610
0.6195 0.1195 0.2390
0.4554 0.4554 0.9108
0.5446 0.5446 0.0892
0.1925 0.1925 0.3850
0.0000 0.0000 0.0000
0.8075 0.8075 0.6150
```

Output
Energy above the lowest structure with this stoichiometry: 284.6 meV per atom
Space group: I4/mmm
Total DFT energy (no corrections): -48.23 eV/cell
Volume: 389 Å³/cell
D(E_F): 16.350 states/eV per cell
Energy relative to the elements: 0.303 eV per atom

Q: Which formula does entry 9 have?
A: Pr6Dy2Er3

Q: The highest energy relative to the elements belongs to which entry?
A: Pr6Dy2Er3

Q: Among the records above, which one has the highest D(E_F)?
A: Pr6Dy16Er7

Q: Which formula does entry 5 have?
A: Pr2Dy15Er2